1.
Computed, not measured: a geometry-optimized ScMoAu2 structure at the PBE level of DFT.

Lattice parameters (Å, degrees): 5.1469 5.1469 5.1469 132.63 132.63 69.23
Closest atoms and distances in Å follow each position.
Fractional positions:
Au (0.0000, 0.0000, 0.0000)  4 Mo 2.92, 4 Au 2.96, 4 Sc 2.96
Au (0.2500, 0.7500, 0.5000)  4 Sc 2.92, 4 Mo 2.96, 4 Au 2.96
Mo (0.5000, 0.5000, 0.0000)  8 Au 2.92-2.96, 4 Sc 2.96
Sc (0.7500, 0.2500, 0.5000)  8 Au 2.92-2.96, 4 Mo 2.96

## Properties
* density of states at the Fermi level: 0.655 states/eV per atom
* magnetization: 2.63 μB/f.u.
* offset from the most stable computed form: 78 meV per atom
* calculated volume: 72.4 Å³ per cell

***

2.
Computed, not measured: a geometry-optimized Sm2SnBi structure at the PBE level of DFT.

Lattice parameters (Å, degrees): 4.3214 4.3214 8.5640 75.39 75.39 60.00
Closest atoms and distances in Å follow each position.
Fractional positions:
Sm (0.0806, 0.0806, 0.7583)  3 Bi 3.16, 3 Sn 3.25
Sm (0.2527, 0.2527, 0.2419)  3 Bi 3.21, 3 Sn 3.29
Sn (0.4987, 0.4987, 0.5040)  6 Sm 3.25-3.29
Bi (0.6681, 0.6681, 0.9958)  6 Sm 3.16-3.21

## Properties
* density of states at the Fermi level: 0.432 states/eV per atom
* magnetization: 0.00 μB/f.u.
* offset from the most stable computed form: 204 meV per atom
* calculated volume: 132.5 Å³ per cell